The following is a DFT calculation (GGA-PBEsol) of Sb4MoRu after structural relaxation.

Calculated values
As for the raw formation energy: 137 kJ per mole of atoms. The magnetization is 3.2 μB per formula unit.

a b c (Å): 5.833 5.833 5.833
angles (deg): 60.00 60.00 60.00
Fractional positions:
1 Sb 0.125 0.125 0.125
2 Sb 0.125 0.125 0.625
3 Sb 0.125 0.625 0.125
4 Sb 0.625 0.125 0.125
5 Mo 0.500 0.500 0.500
6 Ru 0.750 0.750 0.750